Compound: CeCdPd
Source: Alexandria via LeMat-Bulk
Functional: GGA-PBE
Structure: relaxed

```
CeCdPd
1.0
-1.704 1.704 5.770
1.704 -1.704 5.770
1.704 1.704 -5.770
Ce Cd Pd
1 1 1
direct
0.000 0.000 0.000
0.295 0.295 0.000
0.656 0.656 0.000
```

Results
Symmetry: I4mm
N(E_F) (states/eV per cell): 4.9
Formation energy (eV per atom): -0.44

Compound: AcNdCo2
Source: Alexandria via LeMat-Bulk
Functional: GGA-PBE
Structure: relaxed

```
AcNdCo2
1.0
5.035 0.000 0.000
0.000 5.035 0.000
0.000 0.000 3.565
Ac Nd Co
1 1 2
direct
0.000 0.000 0.000
0.500 0.500 0.000
0.000 0.500 0.500
0.500 0.000 0.500
```

Results
Symmetry: P4/mmm
N(E_F) (states/eV per cell): 2.6
Formation energy (eV per atom): 0.16
Energy relative to the lowest polymorph listed for this composition (meV per atom): 163.6

Compound: CsNaCdBi
Source: Alexandria via LeMat-Bulk
Functional: GGA-PBE
Structure: relaxed

```
CsNaCdBi
1.0
0.000 4.133 4.133
4.133 0.000 4.133
4.133 4.133 0.000
Cs Na Cd Bi
1 1 1 1
direct
0.000 0.000 0.000
0.250 0.250 0.250
0.750 0.750 0.750
0.500 0.500 0.500
```

Results
Symmetry: F-43m
N(E_F) (states/eV per cell): 2.6
Formation energy (eV per atom): -0.13

Compound: Ba3OsAu
Source: Alexandria via LeMat-Bulk
Functional: GGA-PBE
Structure: relaxed

```
Ba3OsAu
1.0
5.905 0.000 0.000
0.000 5.905 0.000
0.000 0.000 5.905
Ba Os Au
3 1 1
direct
0.000 0.000 0.500
0.000 0.500 0.000
0.500 0.000 0.000
0.000 0.000 0.000
0.500 0.500 0.500
```

Results
Symmetry: Pm-3m
N(E_F) (states/eV per cell): 7.1
Formation energy (eV per atom): 0.28
Energy relative to the lowest polymorph listed for this composition (meV per atom): 0.0

Compound: BeIr
Source: Alexandria via LeMat-Bulk
Functional: GGA-PBE
Structure: relaxed

```
BeIr
1.0
4.443 0.000 0.000
0.000 4.669 0.000
0.000 0.000 8.732
Be Ir
8 8
direct
0.123 0.013 0.175
0.159 0.394 0.540
0.341 0.606 0.040
0.377 0.987 0.675
0.623 0.487 0.825
0.659 0.106 0.460
0.841 0.894 0.960
0.877 0.513 0.325
0.123 0.594 0.795
0.155 0.894 0.430
0.345 0.106 0.930
0.377 0.406 0.295
0.623 0.906 0.205
0.655 0.606 0.570
0.845 0.394 0.070
0.877 0.094 0.705
```

Results
Symmetry: P2_12_12_1
N(E_F) (states/eV per cell): 5.3
Formation energy (eV per atom): -0.43

Compound: BaLa2Tl
Source: Alexandria via LeMat-Bulk
Functional: GGA-PBE
Structure: relaxed

```
BaLa2Tl
1.0
-2.131 2.863 6.244
2.131 -2.863 6.244
2.131 2.863 -6.244
Ba La Tl
1 2 1
direct
0.000 0.000 0.000
0.287 0.787 0.500
0.569 0.569 0.000
0.772 0.272 0.500
```

Results
Symmetry: Imm2
N(E_F) (states/eV per cell): 6.1
Formation energy (eV per atom): -0.07
Energy relative to the lowest polymorph listed for this composition (meV per atom): 73.3

Compound: PmFeRe
Source: Alexandria via LeMat-Bulk
Functional: GGA-PBE
Structure: relaxed

```
PmFeRe
1.0
-2.580 2.750 3.886
2.580 -2.750 3.886
2.580 2.750 -3.886
Pm Fe Re
2 2 2
direct
0.373 0.123 0.250
0.627 0.877 0.750
0.000 0.500 0.500
0.500 0.500 0.000
0.000 0.000 0.500
0.000 0.500 0.000
```

Results
Symmetry: Imma
N(E_F) (states/eV per cell): 6.9
Formation energy (eV per atom): 0.05
Energy relative to the lowest polymorph listed for this composition (meV per atom): 0.0

Compound: AgHgPdCl6
Source: Alexandria via LeMat-Bulk
Functional: GGA-PBE
Structure: relaxed

```
AgHgPdCl6
1.0
6.587 0.000 0.000
-3.293 5.704 0.000
0.000 0.000 11.672
Ag Hg Pd Cl
2 2 2 12
direct
0.000 0.000 0.000
0.000 0.000 0.500
0.333 0.667 0.250
0.667 0.333 0.750
0.333 0.667 0.750
0.667 0.333 0.250
0.033 0.361 0.629
0.033 0.671 0.871
0.329 0.361 0.871
0.329 0.967 0.629
0.361 0.033 0.129
0.361 0.329 0.371
0.639 0.671 0.629
0.639 0.967 0.871
0.671 0.033 0.371
0.671 0.639 0.129
0.967 0.329 0.129
0.967 0.639 0.371
```

Results
Symmetry: P-31c
N(E_F) (states/eV per cell): 7.0
Formation energy from raw total energies (meV/atom): -433

Compound: HfCuNi3
Source: Alexandria via LeMat-Bulk
Functional: GGA-PBE
Structure: relaxed

```
HfCuNi3
1.0
4.251 0.000 0.000
0.000 4.251 0.000
0.000 0.000 4.251
Hf Cu Ni
1 1 3
direct
0.000 0.000 0.000
0.500 0.500 0.500
0.000 0.500 0.500
0.500 0.000 0.500
0.500 0.500 0.000
```

Results
Symmetry: Pm-3m
N(E_F) (states/eV per cell): 6.1
Formation energy (eV per atom): 0.56
Energy relative to the lowest polymorph listed for this composition (meV per atom): 620.6

Compound: CaCeTc2O8
Source: Alexandria via LeMat-Bulk
Functional: GGA-PBE
Structure: relaxed

```
CaCeTc2O8
1.0
5.943 0.000 0.000
-2.972 5.147 0.000
0.000 0.000 6.856
Ca Ce Tc O
1 1 2 8
direct
0.000 0.000 0.000
0.000 0.000 0.500
0.333 0.667 0.817
0.667 0.333 0.183
0.162 0.324 0.732
0.162 0.838 0.732
0.324 0.162 0.268
0.333 0.667 0.072
0.667 0.333 0.928
0.676 0.838 0.732
0.838 0.162 0.268
0.838 0.676 0.268
```

Results
Symmetry: P-3m1
N(E_F) (states/eV per cell): 2.6
Formation energy from raw total energies (meV/atom): -2020

Compound: MgCdSe4
Source: Alexandria via LeMat-Bulk
Functional: GGA-PBE
Structure: relaxed

```
MgCdSe4
1.0
0.000 4.113 4.113
4.113 0.000 4.113
4.113 4.113 0.000
Mg Cd Se
1 1 4
direct
0.000 0.000 0.000
0.250 0.250 0.250
0.126 0.625 0.625
0.625 0.126 0.625
0.625 0.625 0.126
0.625 0.625 0.625
```

Results
Symmetry: F-43m
N(E_F) (states/eV per cell): 2.9
Formation energy from raw total energies (meV/atom): 268

Compound: FeTeOs2
Source: Alexandria via LeMat-Bulk
Functional: GGA-PBE
Structure: relaxed

```
FeTeOs2
1.0
2.946 0.000 0.000
0.000 4.619 0.000
0.000 0.000 4.625
Fe Te Os
1 1 2
direct
0.000 0.000 0.000
0.500 0.000 0.500
0.000 0.500 0.500
0.500 0.500 0.000
```

Results
Symmetry: Pmmm
N(E_F) (states/eV per cell): 4.6
Formation energy from raw total energies (meV/atom): 804

Compound: UCuI6
Source: Alexandria via LeMat-Bulk
Functional: GGA-PBE
Structure: relaxed

```
UCuI6
1.0
3.779 -6.927 0.000
3.779 6.927 0.000
-3.322 0.000 6.822
U Cu I
1 1 6
direct
0.000 0.000 0.000
0.500 0.500 0.500
0.119 0.416 0.265
0.225 0.225 0.774
0.416 0.119 0.265
0.584 0.881 0.735
0.775 0.775 0.226
0.881 0.584 0.735
```

Results
Symmetry: C2/m
N(E_F) (states/eV per cell): 1.4
Energy relative to the lowest polymorph listed for this composition (meV per atom): 0.0
Formation energy from raw total energies (meV/atom): -547